Record 1
# GGA-PBE CaPdO, relaxed
data_CaPdO
_cell_length_a 6.127
_cell_length_b 3.402
_cell_length_c 9.416
_cell_angle_alpha 90.00
_cell_angle_beta 90.00
_cell_angle_gamma 90.00
_space_group_name_H-M_alt 'P n m a'
_space_group_IT_number 62
loop_
_space_group_symop_operation_xyz
'x,y,z'
'-x,-y,-z'
'-x+1/2,-y,z+1/2'
'x+1/2,y,-z+1/2'
'x+1/2,-y+1/2,-z+1/2'
'-x+1/2,y+1/2,z+1/2'
'-x,y+1/2,-z'
'x,-y+1/2,z'
loop_
_atom_site_label
_atom_site_fract_x
_atom_site_fract_y
_atom_site_fract_z
_atom_site_occupancy
Ca1 0.108 0.250 0.143 1
Pd1 0.133 0.250 0.449 1
O1 0.140 0.250 0.882 1
# - volume (A^3/atom) = 16.4
# - uncorrected formation energy (eV per atom) = -1.42
# - crystal system = orthorhombic
# - density (kg/m³) = 5500
# - E (eV for the cell shown) = -65.66

Record 2
# GGA-PBE TcNi3Pt, relaxed
data_TcNi3Pt
_cell_length_a 4.371
_cell_length_b 4.371
_cell_length_c 4.371
_cell_angle_alpha 90.00
_cell_angle_beta 90.00
_cell_angle_gamma 90.00
_space_group_name_H-M_alt 'P m -3 m'
_space_group_IT_number 221
_space_group_name_Hall '-P 4 2 3'
loop_
_atom_site_label
_atom_site_fract_x
_atom_site_fract_y
_atom_site_fract_z
_atom_site_occupancy
Tc1 0.000 0.000 0.000 1
Ni1 0.000 0.000 0.500 1
Pt1 0.500 0.500 0.500 1
# - polymorph energy (0 for the lowest one) (eV per atom) = 1.403
# - volume (A^3/atom) = 16.7
# - crystal system = cubic
# - density (kg/m³) = 9327
# - E (eV for the cell shown) = -26.87
# - energy of formation (meV/atom) = 1377

Look up the density of the first one. 5500 kg/m³